1.
# NpNbTcRu

Crystalline NpNbTcRu at its relaxed geometry (PBE, Alexandria).

Cell lengths 4.6265, 4.6265, 4.6265 Å; angles 60.00, 60.00, 60.00 degrees
With the nearest neighbours (Å) after each atom.
Fractional coordinates of all 4 atoms:
Np (0.0000, 0.0000, 0.0000)  4 Tc 2.83, 4 Ru 2.83
Nb (0.5000, 0.5000, 0.5000)  4 Tc 2.83, 4 Ru 2.83
Tc (0.7500, 0.7500, 0.7500)  4 Nb 2.83, 4 Np 2.83
Ru (0.2500, 0.2500, 0.2500)  4 Nb 2.83, 4 Np 2.83

Symmetry ... F-43m (216)
Calculated total energy ... -42.8 eV/cell
E_form ... -0.14 eV/f.u.
Crystal system ... cubic

=====

2.
# NpNbVRu

Crystalline NpNbVRu at its relaxed geometry (PBE, Alexandria).

Cell lengths 4.5458, 4.5458, 4.5458 Å; angles 60.00, 60.00, 60.00 degrees
With the nearest neighbours (Å) after each atom.
Fractional coordinates of all 4 atoms:
Np (0.0000, 0.0000, 0.0000)  4 Nb 2.78, 4 V 2.78
Nb (0.7500, 0.7500, 0.7500)  4 Ru 2.78, 4 Np 2.78
V (0.2500, 0.2500, 0.2500)  4 Ru 2.78, 4 Np 2.78
Ru (0.5000, 0.5000, 0.5000)  4 Nb 2.78, 4 V 2.78

Symmetry ... F-43m (216)
Calculated total energy ... -40.4 eV/cell
E_form ... 0.96 eV/f.u.
Crystal system ... cubic

=====

3.
# NpNb2S

Crystalline NpNb2S at its relaxed geometry (PBE, Alexandria).

Cell lengths 9.6230, 9.6230, 9.6230 Å; angles 18.10, 18.10, 18.10 degrees
With the nearest neighbours (Å) after each atom.
Fractional coordinates of all 4 atoms:
Np (0.0000, 0.0000, 0.0000)  2 Nb 2.86, 6 Np 3.03
Nb (0.1007, 0.1007, 0.1007)  3 S 2.56, 1 Np 2.86
Nb (0.8993, 0.8993, 0.8993)  3 S 2.56, 1 Np 2.86
S (0.5000, 0.5000, 0.5000)  6 Nb 2.56

Symmetry ... R-3m (166)
Calculated total energy ... -36.6 eV/cell
Crystal system ... trigonal
Energy relative to the elements, uncorrected ... 0.155 eV/atom

=====

4.
# NpNbS2

Crystalline NpNbS2 at its relaxed geometry (PBE, Alexandria).

Cell lengths 8.6808, 8.6808, 8.6808 Å; angles 23.13, 23.13, 23.13 degrees
With the nearest neighbours (Å) after each atom.
Fractional coordinates of all 4 atoms:
Np (0.0000, 0.0000, 0.0000)  6 S 2.72
Nb (0.5000, 0.5000, 0.5000)  2 S 2.39
S (0.4055, 0.4055, 0.4055)  1 Nb 2.39
S (0.5945, 0.5945, 0.5945)  1 Nb 2.39

Symmetry ... R-3m (166)
Calculated total energy ... -32.7 eV/cell
Crystal system ... trigonal
Energy relative to the elements, uncorrected ... -0.354 eV/atom

=====

5.
# Np2NbS6

Crystalline Np2NbS6 at its relaxed geometry (PBE, Alexandria).

Cell lengths 6.2304, 6.7643, 10.4989 Å; angles 90.00, 119.21, 90.00 degrees
With the nearest neighbours (Å) after each atom.
Fractional coordinates of all 18 atoms:
Np (0.1640, 0.1163, 0.2179)  7 S 2.66-2.82
Np (0.1640, 0.3837, 0.7179)  7 S 2.66-2.82
Np (0.8360, 0.6163, 0.2821)  7 S 2.66-2.82
Np (0.8360, 0.8837, 0.7821)  7 S 2.66-2.82
Nb (0.5000, 0.0000, 0.0000)  6 S 2.46-2.49
Nb (0.5000, 0.5000, 0.5000)  6 S 2.46-2.49
S (0.1229, 0.1927, 0.9432)  1 Nb 2.49, 1 Np 2.73
S (0.1229, 0.3073, 0.4432)  1 Nb 2.49, 1 Np 2.73
S (0.2629, 0.6863, 0.9175)  1 Nb 2.49, 2 Np 2.68-2.78
S (0.2629, 0.8137, 0.4175)  1 Nb 2.49, 2 Np 2.68-2.78
S (0.4264, 0.0580, 0.7507)  1 Nb 2.46, 2 Np 2.66-2.68
S (0.4264, 0.4420, 0.2507)  1 Nb 2.46, 2 Np 2.66-2.68
S (0.5736, 0.5580, 0.7493)  1 Nb 2.46, 2 Np 2.66-2.68
S (0.5736, 0.9420, 0.2493)  1 Nb 2.46, 2 Np 2.66-2.68
S (0.7371, 0.1863, 0.5825)  1 Nb 2.49, 2 Np 2.68-2.78
S (0.7371, 0.3137, 0.0825)  1 Nb 2.49, 2 Np 2.68-2.78
S (0.8771, 0.6927, 0.5568)  1 Nb 2.49, 1 Np 2.73
S (0.8771, 0.8073, 0.0568)  1 Nb 2.49, 1 Np 2.73

Symmetry ... P2_1/c (14)
Calculated total energy ... -142.2 eV/cell
Crystal system ... monoclinic
Energy relative to the elements, uncorrected ... -1.154 eV/atom

=====

6.
# NpNb6S8

Crystalline NpNb6S8 at its relaxed geometry (PBE, Alexandria).

Cell lengths 6.6345, 6.6345, 6.6345 Å; angles 87.60, 87.60, 87.60 degrees
With the nearest neighbours (Å) after each atom.
Fractional coordinates of all 15 atoms:
Np (0.0000, 0.0000, 0.0000)  8 S 2.78-3.10
Nb (0.2018, 0.4100, 0.5570)  5 S 2.49-2.57
Nb (0.4100, 0.5570, 0.2018)  5 S 2.49-2.57
Nb (0.4430, 0.7982, 0.5900)  5 S 2.49-2.57
Nb (0.5570, 0.2018, 0.4100)  5 S 2.49-2.57
Nb (0.5900, 0.4430, 0.7982)  5 S 2.49-2.57
Nb (0.7982, 0.5900, 0.4430)  5 S 2.49-2.57
S (0.1315, 0.7592, 0.3864)  4 Nb 2.53-2.57
S (0.2325, 0.2325, 0.2325)  3 Nb 2.49, 1 Np 2.78
S (0.2408, 0.6136, 0.8685)  4 Nb 2.53-2.57
S (0.3864, 0.1315, 0.7592)  4 Nb 2.53-2.57
S (0.6136, 0.8685, 0.2408)  4 Nb 2.53-2.57
S (0.7592, 0.3864, 0.1315)  4 Nb 2.53-2.57
S (0.7675, 0.7675, 0.7675)  3 Nb 2.49, 1 Np 2.78
S (0.8685, 0.2408, 0.6136)  4 Nb 2.53-2.57

Symmetry ... R-3 (148)
Calculated total energy ... -120.6 eV/cell
Crystal system ... trigonal
Energy relative to the elements, uncorrected ... -0.946 eV/atom